Entry 1:
VASP calculation (meta-GGA SCAN) on a PBEsol-optimized structure of BaMgCl2.

Properties
Spin magnetization in μB/f.u.: 0.0
DOS(E_F) in states/eV per cell: 0.230
Space-group type: No. 123
E above lowest polymorph in meV/atom: 135
Raw formation energy in eV/atom: -1.5173

Cell lengths 5.054, 5.054, 4.205 Å; angles 90.00, 90.00, 90.00 degrees
Sites, in units of the cell vectors:
1 Ba 0.000 0.000 0.000
2 Mg 0.500 0.500 0.000
3 Cl 0.000 0.500 0.500
4 Cl 0.500 0.000 0.500

Entry 2:
VASP calculation (meta-GGA SCAN) on a PBEsol-optimized structure of YReRh3.

Properties
Spin magnetization in μB/f.u.: 3.7
E_form in meV/atom: 1961
DOS(E_F) in states/eV per cell: 6.121
Space-group type: No. 221

Cell lengths 4.659, 4.659, 4.659 Å; angles 90.00, 90.00, 90.00 degrees
Sites, in units of the cell vectors:
1 Y 0.000 0.000 0.000
2 Re 0.500 0.500 0.500
3 Rh 0.000 0.000 0.500
4 Rh 0.000 0.500 0.000
5 Rh 0.500 0.000 0.000